Crystalline Ba3Zr at its relaxed geometry. Source: Alexandria, functional PBE-GGA.

abc: 6.973 6.973 3.918
angles: 90.00 90.00 110.87
Positions (direct):
Ba 0.000 0.000 0.000
Ba 0.000 0.500 0.500
Ba 0.500 0.000 0.500
Zr 0.500 0.500 0.000

Properties
As for the space group: No. 65. The total magnetization comes out at 0.2633 μB per atom. As for the energy above the most stable polymorph in this dataset: 247 meV/atom. The calculated formation energy is 2.361 eV per formula unit.

***

Crystalline Ba2Zr at its relaxed geometry. Source: Alexandria, functional PBE-GGA.

abc: 8.191 8.191 8.191
angles: 90.00 90.00 90.00
Positions (direct):
Ba 0.156 0.156 0.156
Ba 0.156 0.344 0.656
Ba 0.344 0.656 0.156
Ba 0.344 0.844 0.656
Ba 0.656 0.156 0.344
Ba 0.656 0.344 0.844
Ba 0.844 0.656 0.344
Ba 0.844 0.844 0.844
Zr 0.000 0.000 0.500
Zr 0.000 0.500 0.000
Zr 0.500 0.000 0.000
Zr 0.500 0.500 0.500

Properties
As for the space group: No. 205. The total magnetization comes out at 0.0063 μB per atom. As for the energy above the most stable polymorph in this dataset: 590 meV/atom. The calculated formation energy is 2.975 eV per formula unit.

***

Crystalline Ba3Zr at its relaxed geometry. Source: Alexandria, functional PBE-GGA.

abc: 3.966 3.966 11.778
angles: 90.00 90.00 90.45
Positions (direct):
Ba 0.000 0.000 0.000
Ba 0.500 0.500 0.296
Ba 0.500 0.500 0.704
Zr 0.000 0.000 0.500

Properties
As for the space group: No. 65. The total magnetization comes out at 0.0005 μB per atom. As for the energy above the most stable polymorph in this dataset: 114 meV/atom. The calculated formation energy is 1.829 eV per formula unit.

***

Crystalline BaZr at its relaxed geometry. Source: Alexandria, functional PBE-GGA.

abc: 3.597 3.597 12.345
angles: 90.00 90.00 120.00
Positions (direct):
Ba 0.333 0.667 0.159
Ba 0.667 0.333 0.841
Zr 0.333 0.667 0.593
Zr 0.667 0.333 0.407

Properties
As for the space group: No. 164. The total magnetization comes out at 0.0000 μB per atom. As for the energy above the most stable polymorph in this dataset: 139 meV/atom. The calculated formation energy is 0.972 eV per formula unit.

***

Crystalline Ba3Zr at its relaxed geometry. Source: Alexandria, functional PBE-GGA.

abc: 7.519 7.519 7.519
angles: 117.16 117.16 117.16
Positions (direct):
Ba 0.000 0.500 0.500
Ba 0.500 0.000 0.500
Ba 0.500 0.500 0.000
Zr 0.000 0.000 0.000

Properties
As for the space group: No. 166. The total magnetization comes out at 0.3801 μB per atom. As for the energy above the most stable polymorph in this dataset: 258 meV/atom. The calculated formation energy is 2.404 eV per formula unit.

***

Crystalline Ba2Zr3 at its relaxed geometry. Source: Alexandria, functional PBE-GGA.

abc: 5.383 5.383 6.514
angles: 90.00 90.00 120.00
Positions (direct):
Ba 0.333 0.667 0.339
Ba 0.667 0.333 0.661
Zr 0.000 0.000 0.500
Zr 0.333 0.667 0.871
Zr 0.667 0.333 0.129

Properties
As for the space group: No. 164. The total magnetization comes out at 0.0000 μB per atom. As for the energy above the most stable polymorph in this dataset: 675 meV/atom. The calculated formation energy is 6.830 eV per formula unit.

***

Crystalline BaZr at its relaxed geometry. Source: Alexandria, functional PBE-GGA.

abc: 9.515 9.515 7.178
angles: 112.07 112.07 21.41
Positions (direct):
Ba 0.000 0.000 0.000
Ba 0.071 0.071 0.571
Ba 0.715 0.715 0.216
Zr 0.375 0.375 0.167
Zr 0.375 0.375 0.585
Zr 0.790 0.790 0.791

Properties
As for the space group: No. 8. The total magnetization comes out at 0.0000 μB per atom. As for the energy above the most stable polymorph in this dataset: 158 meV/atom. The calculated formation energy is 1.010 eV per formula unit.

***

Crystalline BaZr at its relaxed geometry. Source: Alexandria, functional PBE-GGA.

abc: 6.897 6.897 7.022
angles: 90.00 90.00 90.00
Positions (direct):
Ba 0.173 0.173 0.000
Ba 0.327 0.673 0.500
Ba 0.673 0.327 0.500
Ba 0.827 0.827 0.000
Zr 0.132 0.132 0.500
Zr 0.368 0.632 0.000
Zr 0.632 0.368 0.000
Zr 0.868 0.868 0.500

Properties
As for the space group: No. 136. The total magnetization comes out at 0.0005 μB per atom. As for the energy above the most stable polymorph in this dataset: 752 meV/atom. The calculated formation energy is 2.198 eV per formula unit.

***

Crystalline Be at its relaxed geometry. Source: Alexandria, functional PBE-GGA.

abc: 5.028 5.028 5.028
angles: 109.47 109.47 109.47
Positions (direct):
Be 0.250 0.500 0.750
Be 0.250 0.750 0.500
Be 0.500 0.250 0.750
Be 0.500 0.750 0.250
Be 0.750 0.250 0.500
Be 0.750 0.500 0.250

Properties
As for the space group: No. 229. The total magnetization comes out at 0.0000 μB per atom. As for the energy above the most stable polymorph in this dataset: 1526 meV/atom. The calculated formation energy is 1.526 eV per formula unit.

***

Crystalline Be at its relaxed geometry. Source: Alexandria, functional PBE-GGA.

abc: 6.199 6.199 3.587
angles: 90.00 90.00 90.00
Positions (direct):
Be 0.086 0.255 0.000
Be 0.094 0.755 0.500
Be 0.245 0.094 0.500
Be 0.245 0.414 0.500
Be 0.255 0.594 0.000
Be 0.255 0.914 0.000
Be 0.406 0.255 0.000
Be 0.414 0.755 0.500
Be 0.586 0.245 0.500
Be 0.594 0.745 0.000
Be 0.745 0.086 0.000
Be 0.745 0.406 0.000
Be 0.755 0.586 0.500
Be 0.755 0.906 0.500
Be 0.906 0.245 0.500
Be 0.914 0.745 0.000

Properties
As for the space group: No. 128. The total magnetization comes out at 0.0000 μB per atom. As for the energy above the most stable polymorph in this dataset: 94 meV/atom. The calculated formation energy is 0.094 eV per formula unit.

***

Crystalline Be at its relaxed geometry. Source: Alexandria, functional PBE-GGA.

abc: 5.508 5.508 5.508
angles: 96.20 96.20 141.63
Positions (direct):
Be 0.096 0.596 0.692
Be 0.198 0.302 0.500
Be 0.302 0.802 0.104
Be 0.404 0.096 0.500
Be 0.596 0.904 0.500
Be 0.698 0.198 0.896
Be 0.802 0.698 0.500
Be 0.904 0.404 0.308

Properties
As for the space group: No. 140. The total magnetization comes out at 0.0000 μB per atom. As for the energy above the most stable polymorph in this dataset: 387 meV/atom. The calculated formation energy is 0.387 eV per formula unit.

***

Crystalline Be at its relaxed geometry. Source: Alexandria, functional PBE-GGA.

abc: 5.434 5.434 2.144
angles: 90.00 90.00 95.35
Positions (direct):
Be 0.000 0.500 0.500
Be 0.152 0.152 0.500
Be 0.190 0.810 0.000
Be 0.500 0.000 0.500
Be 0.810 0.190 0.000
Be 0.848 0.848 0.500

Properties
As for the space group: No. 65. The total magnetization comes out at 0.0000 μB per atom. As for the energy above the most stable polymorph in this dataset: 329 meV/atom. The calculated formation energy is 0.329 eV per formula unit.

***

Crystalline Be at its relaxed geometry. Source: Alexandria, functional PBE-GGA.

abc: 3.750 3.750 2.281
angles: 90.00 90.00 90.00
Positions (direct):
Be 0.203 0.203 0.000
Be 0.297 0.703 0.500
Be 0.703 0.297 0.500
Be 0.797 0.797 0.000

Properties
As for the space group: No. 136. The total magnetization comes out at 0.0000 μB per atom. As for the energy above the most stable polymorph in this dataset: 38 meV/atom. The calculated formation energy is 0.038 eV per formula unit.

***

Crystalline Be at its relaxed geometry. Source: Alexandria, functional PBE-GGA.

abc: 2.233 2.233 2.233
angles: 60.00 60.00 60.00
Positions (direct):
Be 0.000 0.000 0.000

Properties
As for the space group: No. 225. The total magnetization comes out at 0.0000 μB per atom. As for the energy above the most stable polymorph in this dataset: 73 meV/atom. The calculated formation energy is 0.073 eV per formula unit.

***

Crystalline Be at its relaxed geometry. Source: Alexandria, functional PBE-GGA.

abc: 3.707 3.707 1.984
angles: 90.00 90.00 120.00
Positions (direct):
Be 0.333 0.667 0.000
Be 0.667 0.333 0.000

Properties
As for the space group: No. 191. The total magnetization comes out at 0.0000 μB per atom. As for the energy above the most stable polymorph in this dataset: 908 meV/atom. The calculated formation energy is 0.908 eV per formula unit.

***

Crystalline Be at its relaxed geometry. Source: Alexandria, functional PBE-GGA.

abc: 3.624 3.624 3.651
angles: 90.00 90.00 120.00
Positions (direct):
Be 0.000 0.000 0.250
Be 0.000 0.000 0.750
Be 0.333 0.667 0.250
Be 0.667 0.333 0.750

Properties
As for the space group: No. 194. The total magnetization comes out at 0.0000 μB per atom. As for the energy above the most stable polymorph in this dataset: 817 meV/atom. The calculated formation energy is 0.817 eV per formula unit.

***

Crystalline Be at its relaxed geometry. Source: Alexandria, functional PBE-GGA.

abc: 8.417 7.428 4.290
angles: 87.55 61.84 30.61
Positions (direct):
Be 0.002 0.002 0.748
Be 0.009 0.741 0.009
Be 0.252 0.252 0.998
Be 0.259 0.991 0.259
Be 0.741 0.009 0.741
Be 0.748 0.748 0.002
Be 0.991 0.259 0.991
Be 0.998 0.998 0.252

Properties
As for the space group: No. 70. The total magnetization comes out at 0.0000 μB per atom. As for the energy above the most stable polymorph in this dataset: 295 meV/atom. The calculated formation energy is 0.295 eV per formula unit.

***

Crystalline Be at its relaxed geometry. Source: Alexandria, functional PBE-GGA.

abc: 5.577 5.577 5.577
angles: 109.47 109.47 109.47
Positions (direct):
Be 0.000 0.000 0.223
Be 0.000 0.000 0.589
Be 0.000 0.223 0.000
Be 0.000 0.589 0.000
Be 0.223 0.000 0.000
Be 0.411 0.411 0.411
Be 0.589 0.000 0.000
Be 0.777 0.777 0.777

Properties
As for the space group: No. 217. The total magnetization comes out at 0.1341 μB per atom. As for the energy above the most stable polymorph in this dataset: 1192 meV/atom. The calculated formation energy is 1.192 eV per formula unit.

***

Crystalline Be at its relaxed geometry. Source: Alexandria, functional PBE-GGA.

abc: 6.836 6.836 2.067
angles: 90.00 90.00 90.00
Positions (direct):
Be 0.110 0.110 0.000
Be 0.202 0.798 0.000
Be 0.298 0.298 0.500
Be 0.390 0.610 0.500
Be 0.610 0.390 0.500
Be 0.702 0.702 0.500
Be 0.798 0.202 0.000
Be 0.890 0.890 0.000

Properties
As for the space group: No. 136. The total magnetization comes out at 0.0000 μB per atom. As for the energy above the most stable polymorph in this dataset: 715 meV/atom. The calculated formation energy is 0.715 eV per formula unit.

***

Crystalline Be at its relaxed geometry. Source: Alexandria, functional PBE-GGA.

abc: 5.847 5.847 3.633
angles: 90.00 90.00 120.00
Positions (direct):
Be 0.032 0.799 0.250
Be 0.081 0.620 0.750
Be 0.201 0.233 0.250
Be 0.233 0.032 0.750
Be 0.380 0.461 0.750
Be 0.461 0.081 0.250
Be 0.539 0.919 0.750
Be 0.620 0.539 0.250
Be 0.767 0.968 0.250
Be 0.799 0.767 0.750
Be 0.919 0.380 0.250
Be 0.968 0.201 0.750

Properties
As for the space group: No. 176. The total magnetization comes out at 0.0000 μB per atom. As for the energy above the most stable polymorph in this dataset: 191 meV/atom. The calculated formation energy is 0.191 eV per formula unit.

***

Crystalline Be at its relaxed geometry. Source: Alexandria, functional PBE-GGA.

abc: 3.166 3.166 3.166
angles: 96.36 96.36 141.11
Positions (direct):
Be 0.375 0.625 0.750
Be 0.625 0.375 0.250

Properties
As for the space group: No. 141. The total magnetization comes out at 0.0000 μB per atom. As for the energy above the most stable polymorph in this dataset: 701 meV/atom. The calculated formation energy is 0.701 eV per formula unit.

***

Crystalline Be at its relaxed geometry. Source: Alexandria, functional PBE-GGA.

abc: 3.469 3.469 3.469
angles: 60.00 60.00 60.00
Positions (direct):
Be 0.125 0.125 0.125
Be 0.875 0.875 0.875

Properties
As for the space group: No. 227. The total magnetization comes out at 0.0001 μB per atom. As for the energy above the most stable polymorph in this dataset: 1624 meV/atom. The calculated formation energy is 1.624 eV per formula unit.

***

Crystalline Be at its relaxed geometry. Source: Alexandria, functional PBE-GGA.

abc: 2.172 2.172 2.172
angles: 90.00 90.00 90.00
Positions (direct):
Be 0.000 0.000 0.000

Properties
As for the space group: No. 221. The total magnetization comes out at 0.0000 μB per atom. As for the energy above the most stable polymorph in this dataset: 990 meV/atom. The calculated formation energy is 0.990 eV per formula unit.

***

Crystalline Be at its relaxed geometry. Source: Alexandria, functional PBE-GGA.

abc: 2.166 2.166 2.166
angles: 109.47 109.47 109.47
Positions (direct):
Be 0.000 0.000 0.000

Properties
As for the space group: No. 229. The total magnetization comes out at 0.0000 μB per atom. As for the energy above the most stable polymorph in this dataset: 95 meV/atom. The calculated formation energy is 0.095 eV per formula unit.

***

Crystalline Be at its relaxed geometry. Source: Alexandria, functional PBE-GGA.

abc: 4.734 4.517 2.139
angles: 82.38 71.02 26.60
Positions (direct):
Be 0.142 0.142 0.858
Be 0.858 0.858 0.142

Properties
As for the space group: No. 69. The total magnetization comes out at 0.0000 μB per atom. As for the energy above the most stable polymorph in this dataset: 315 meV/atom. The calculated formation energy is 0.315 eV per formula unit.